Record 1
A relaxed structure of Pr2SI2, computed with GGA-PBE. Values from VASP.

Results
Formation energy from raw total energies ... -1.6755 eV/atom
Spin magnetization ... 0.0 Bohr magnetons per cell

Structure (Quantum ESPRESSO input):
```
&SYSTEM
  ibrav = 0, nat = 5, ntyp = 3
/
ATOMIC_SPECIES
Pr 140.91 Pr.upf
S 32.06 S.upf
I 126.90 I.upf
CELL_PARAMETERS angstrom
3.688 -2.130 0.000
3.688 2.130 0.000
-2.739 0.000 11.958
ATOMIC_POSITIONS angstrom
Pr 1.229 0.000 1.489
Pr 3.408 0.000 10.469
S 3.688 0.000 0.000
I -1.509 0.000 8.344
I 6.145 0.000 3.614
```

Record 2
A relaxed structure of La2AgPd, computed with GGA-PBE. Values from VASP.

Results
Formation enthalpy at 0 K ... -0.51 eV per atom
Spin magnetization ... 0.0 Bohr magnetons per cell

Structure (Quantum ESPRESSO input):
```
&SYSTEM
  ibrav = 0, nat = 4, ntyp = 3
/
ATOMIC_SPECIES
La 138.91 La.upf
Ag 107.87 Ag.upf
Pd 106.42 Pd.upf
CELL_PARAMETERS angstrom
3.749 0.000 0.000
0.000 3.749 0.000
0.000 0.000 7.514
ATOMIC_POSITIONS angstrom
La 0.000 0.000 1.767
La 0.000 0.000 5.748
Ag 1.874 1.874 3.757
Pd 1.874 1.874 0.000
```

Record 3
A relaxed structure of Be4TlCu, computed with GGA-PBE. Values from VASP.

Results
Formation enthalpy at 0 K ... 0.35 eV per atom
Spin magnetization ... 0.0 Bohr magnetons per cell

Structure (Quantum ESPRESSO input):
```
&SYSTEM
  ibrav = 0, nat = 6, ntyp = 3
/
ATOMIC_SPECIES
Be 9.01 Be.upf
Tl 204.38 Tl.upf
Cu 63.55 Cu.upf
CELL_PARAMETERS angstrom
0.000 3.257 3.257
3.257 0.000 3.257
3.257 3.257 0.000
ATOMIC_POSITIONS angstrom
Be 0.799 0.799 0.799
Be 2.458 2.458 0.799
Be 2.458 0.799 2.458
Be 0.799 2.458 2.458
Tl 3.257 3.257 3.257
Cu 4.886 4.886 4.886
```